[1]
YSn2Se4 | PBE-GGA | optimized geometry

POSCAR file:
```
YSn2Se4
1.0
1.9949 -6.8962 0.0000
1.9949 6.8962 0.0000
0.0000 0.0000 13.8417
Y Sn Se
2 4 8
Cartesian
1.9949 5.3340 10.3813
1.9949 -5.3340 3.4604
1.9949 1.8299 7.8453
1.9949 1.8299 12.9172
1.9949 -1.8299 0.9245
1.9949 -1.8299 5.9963
0.0000 0.0000 0.0000
0.0000 0.0000 6.9208
1.9949 2.9613 1.7564
1.9949 2.9613 5.1645
1.9949 0.4754 10.3813
1.9949 -0.4754 3.4604
1.9949 -2.9613 8.6772
1.9949 -2.9613 12.0853
```

E_tot = -4.919 eV/atom
Crystal system = orthorhombic

---

[2]
Y2SnSe | PBE-GGA | optimized geometry

POSCAR file:
```
Y2SnSe
1.0
1.9456 1.1233 8.1805
-1.9456 1.1233 8.1805
0.0000 -2.2466 8.1805
Y Sn Se
2 1 1
Cartesian
0.0000 0.0000 0.0000
0.0000 0.0000 3.7892
0.0000 0.0000 14.1843
0.0000 0.0000 10.0478
```

E_tot = -6.224 eV/atom
Crystal system = trigonal
Energy above the lowest structure with this stoichiometry = 0.629 eV per formula unit

---

[3]
Y3SnSe | PBE-GGA | optimized geometry

POSCAR file:
```
Y3SnSe
1.0
9.1977 0.0000 0.0000
0.0000 6.6559 0.0000
-4.0153 0.0000 9.4946
Y Sn Se
12 4 4
Cartesian
-0.8713 0.5933 3.1517
-2.8789 2.7346 7.8990
-0.3024 3.9090 5.0626
1.7052 6.0748 0.3153
0.4265 1.2344 7.8277
2.4342 2.0935 3.0804
2.7482 4.5623 6.4142
4.7559 5.4215 1.6669
3.4772 0.5811 9.1793
5.4849 2.7468 4.4320
8.0613 3.9212 1.5956
6.0537 6.0626 6.3428
-0.1552 4.6715 8.0521
1.8524 5.3123 3.3048
3.3300 1.3435 6.1897
5.3377 1.9844 1.4425
-1.5050 1.5321 5.7177
0.5027 1.7958 0.9704
4.6797 4.8601 8.5241
6.6874 5.1237 3.7768
```

E_tot = -6.294 eV/atom
Crystal system = monoclinic
Energy above the lowest structure with this stoichiometry = 0.000 eV per formula unit

---

Record-wise uncorrected formation energy values, in kJ per mole of atoms: -83.0; -108.1; -88.6
Record-wise magnetization values, in Bohr magnetons per cell: 0.0; 0.0; 0.0